Density functional theory data (GGA-PBE) for an optimized crystal structure of Ce2Pm3Pt3.

Unit cell a=3.609 b=5.170 c=11.076 alpha=103.50 beta=99.38 gamma=90.00
Last column: magnetic moment on the atom in μB.
Fractional positions:
Pt: 0.000 0.500 0.000  0.01
Pt: 0.129 0.129 0.258  0.00
Pt: 0.871 0.871 0.742  0.00
Ce: 0.265 0.765 0.530  0.51
Ce: 0.735 0.235 0.470  0.51
Pm: 0.614 0.614 0.228  0.02
Pm: 0.500 0.000 0.000  0.01
Pm: 0.386 0.386 0.772  0.02

- DFT total energy (eV for the cell shown) = -50.38
- formation energy (kJ/mol of formula units) = -592
- volume (Å³ per cell) = 198.11
- theoretical density (g cm⁻³) = 10.9